[1]
ZnNi2Rh: relaxed, PBEsol.

abc: 4.410 4.410 4.381
angles: 100.75 100.75 34.44
Element x y z (fractional)
Zn (0.000, 0.000, 0.000)
Ni (0.251, 0.251, 0.764)
Ni (0.505, 0.505, 0.513)
Rh (0.755, 0.755, 0.276)

Results
Symmetry = No. 8
ΔE_f = -0.115 eV/atom


[2]
Be3InCl: relaxed, PBEsol.

abc: 4.606 4.606 4.606
angles: 90.00 90.00 90.00
Element x y z (fractional)
Be (0.000, 0.000, 0.500)
Be (0.000, 0.500, 0.000)
Be (0.500, 0.000, 0.000)
In (0.000, 0.000, 0.000)
Cl (0.500, 0.500, 0.500)

Results
Symmetry = No. 221
Formation energy without anion corrections = 79.5 kJ per mole of atoms


[3]
Li2HfScRh: relaxed, PBEsol.

abc: 4.798 4.798 4.614
angles: 90.00 90.00 90.00
Element x y z (fractional)
Li (0.000, 0.500, 0.000)
Li (0.500, 0.000, 0.000)
Hf (0.000, 0.000, 0.000)
Sc (0.500, 0.500, 0.500)
Rh (0.000, 0.000, 0.500)

Results
Symmetry = No. 123
ΔE_f = 0.764 eV/atom


no.,magnetization (μB per formula unit),uncorrected energy (eV per cell)
1,0.47,-22.5
2,0.00,-12.9
3,0.00,-25.4